Density functional theory data (SCAN) for a crystal of CaReRu2 relaxed with PBEsol.

## Properties
As for the formation energy: 0.4259 eV per atom. As for the symmetry: No. 123.

POSCAR file:
```
CaReRu2
1.0
2.948 0.000 0.000
0.000 4.571 0.000
0.000 0.000 4.571
Ru Re Ca
2 1 1
direct
0.000 0.000 0.500 Ru
0.000 0.500 0.000 Ru
0.500 0.000 0.000 Re
0.500 0.500 0.500 Ca
```